TiH2Pt (meta-GGA SCAN, single point on PBEsol structure); SG = Fm-3m; energy = -93.207 eV per cell
1.0
-3.7275 0.2804 0.2018
-2.0811 -3.0645 0.5400
-1.7423 -0.5269 3.2712
H Pt Ti
2 1 1
Cartesian
-1.8877 -0.8277 1.0032 H
-5.6632 -2.4832 3.0097 H
-3.7755 -1.6555 2.0064 Pt
0.0000 0.0000 0.0000 Ti

Cr2NO (meta-GGA SCAN, single point on PBEsol structure); energy above the most stable polymorph in this dataset = 0 meV/atom; SG = I-42d
1.0
-1.3474 -3.0942 2.7779
2.1962 -1.9115 -4.5029
4.1233 -1.3718 0.4719
Cr O N
4 2 2
Cartesian
5.0686 -3.0622 -2.5798 Cr
2.3694 -3.8405 -1.5012 Cr
0.6144 -1.8281 -0.0187 Cr
1.8920 -4.0243 1.5936 Cr
3.1801 -4.3053 0.1859 O
0.0000 0.0000 0.0000 O
1.7921 -2.0723 -1.4390 N
1.3880 -2.2330 1.6249 N

VMoO5 (meta-GGA SCAN, single point on PBEsol structure); energy above the most stable polymorph in this dataset = 48 meV/atom; SG = Cm
1.0
-0.3051 -3.5118 1.1851
3.5743 -1.1483 3.3525
-2.6139 -0.2644 4.3789
Mo O V
1 5 1
Cartesian
2.3615 -2.4338 5.0662 Mo
0.4117 -1.9705 5.9371 O
-0.5790 -0.6967 3.6216 O
-2.2231 -1.9452 5.3338 O
1.2466 -2.7721 3.7766 O
-1.2654 -2.9107 2.7193 O
-0.5997 -2.3089 4.6739 V

ZrIn2Tc (meta-GGA SCAN, single point on PBEsol structure); energy above the most stable polymorph in this dataset = 195 meV/atom; SG = R3m
1.0
-0.1572 -0.7171 3.1158
-2.7309 -1.1050 1.2523
1.7127 -9.3450 -0.4199
In Tc Zr
2 1 1
Cartesian
-2.8685 -1.8860 4.3544 In
-0.9612 -8.1152 3.0170 In
-0.6269 -5.4557 2.0015 Tc
-0.1946 -3.1159 0.9174 Zr

CaAlIr2 (meta-GGA SCAN, single point on PBEsol structure); SG = F-43m; energy = -159.710 eV per cell
1.0
4.5216 0.0000 0.0000
2.2608 3.9158 0.0000
2.2608 1.3053 3.6919
Ca Ir Al
1 2 1
Cartesian
2.2608 1.3053 0.9230 Ca
0.0000 0.0000 0.0000 Ir
6.7824 3.9158 2.7689 Ir
4.5216 2.6105 1.8459 Al

Cs2Mo5O16 (meta-GGA SCAN, single point on PBEsol structure); SG = C2/c; energy = -800.079 eV per cell
1.0
5.4673 0.0000 0.0000
2.7337 10.7922 0.0548
2.7337 3.1716 12.1067
Cs Mo O
4 10 32
Cartesian
4.6272 11.7424 8.0912 Cs
7.3609 9.2033 10.1510 Cs
6.3074 2.2214 4.0703 Cs
3.5738 4.7605 2.0104 Cs
7.4135 5.0767 9.0937 Mo
3.5211 8.8870 3.0678 Mo
3.8561 4.3760 6.4784 Mo
3.8561 5.7775 11.7090 Mo
7.0786 9.5878 5.6831 Mo
7.0786 8.1863 0.4525 Mo
6.3771 6.4904 4.7457 Mo
3.6434 0.4914 1.3351 Mo
4.5576 7.4733 7.4158 Mo
7.2912 13.4723 10.8264 Mo
2.4757 3.8668 7.6914 O
7.9430 6.2866 10.4960 O
8.4589 10.0970 4.4700 O
2.9916 7.6771 1.6655 O
7.6123 5.7242 5.6556 O
4.8786 1.2577 0.4251 O
3.3224 8.2395 6.5058 O
6.0560 12.7061 11.7364 O
7.2666 7.9970 4.1406 O
7.2666 9.7771 1.9949 O
3.6680 5.9668 8.0209 O
3.6680 4.1867 10.1665 O
5.1564 3.4466 7.0514 O
5.1564 6.7068 11.1360 O
5.7782 10.5171 5.1101 O
5.7782 7.2569 1.0254 O
4.8617 5.9159 5.8291 O
2.1281 1.0660 0.2516 O
6.0729 8.0479 6.3324 O
8.8066 12.8978 11.9098 O
4.5872 7.7749 3.8503 O
4.5872 9.9992 2.2852 O
6.3474 6.1888 8.3112 O
6.3474 3.9646 9.8762 O
3.4803 3.5636 5.0070 O
6.2139 3.4183 1.0737 O
7.4544 10.4002 7.1544 O
4.7207 10.5455 11.0878 O
6.2077 5.4437 3.4020 O
3.4740 1.5382 2.6787 O
4.7270 8.5201 8.7595 O
7.4606 12.4255 9.4827 O

SrYRh4 (meta-GGA SCAN, single point on PBEsol structure); SG = F-43m; energy = -188.513 eV per cell
1.0
-0.1732 1.0377 -5.2121
-4.6402 1.1455 -2.3300
-0.9745 4.9445 -1.6954
Rh Sr Y
4 1 1
Cartesian
-2.1688 2.6709 -3.4614 Rh
-2.6571 5.1487 -4.3111 Rh
-2.2556 3.1909 -6.0734 Rh
-4.4941 3.2449 -4.6290 Rh
-4.3409 5.3458 -6.9281 Sr
0.0000 0.0000 0.0000 Y

Si2AgPt (meta-GGA SCAN, single point on PBEsol structure); energy above the most stable polymorph in this dataset = 162 meV/atom; SG = R3m
1.0
-2.2868 1.9236 -0.1338
-2.6596 -0.7567 1.1409
0.4644 3.3819 7.2471
Ag Pt Si
1 1 2
Cartesian
-2.2121 2.3154 4.2217 Ag
-1.1909 1.0375 1.8332 Pt
-4.9367 1.1807 1.0389 Si
-3.3297 3.4567 6.2946 Si

Ga3ReN (meta-GGA SCAN, single point on PBEsol structure); SG = Pm-3m; energy = -123.842 eV per cell
1.0
4.7997 0.0000 0.0000
0.0000 4.7997 0.0000
0.0000 0.0000 4.7997
Re Ga N
1 3 1
Cartesian
0.0000 0.0000 0.0000 Re
0.0000 2.3998 0.0000 Ga
0.0000 0.0000 2.3998 Ga
2.3998 0.0000 0.0000 Ga
2.3998 2.3998 2.3998 N

Ta2ReMo (meta-GGA SCAN, single point on PBEsol structure); energy above the most stable polymorph in this dataset = 22 meV/atom; SG = P4/mmm
1.0
3.1791 0.0000 0.0000
0.0000 3.1791 0.0000
0.0000 0.0000 6.3712
Re Mo Ta
1 1 2
Cartesian
1.5896 1.5896 3.1856 Re
1.5896 1.5896 0.0000 Mo
0.0000 0.0000 4.7747 Ta
0.0000 0.0000 1.5965 Ta

CaAgAu (meta-GGA SCAN, single point on PBEsol structure); energy above the most stable polymorph in this dataset = 0 meV/atom; SG = P-6m2
1.0
3.4993 0.0000 0.0000
0.0000 4.6561 0.0000
0.0000 -2.3281 4.0323
Ca Au Ag
1 1 1
Cartesian
1.7497 2.3281 1.3441 Ca
0.0000 0.0000 2.6882 Au
0.0000 0.0000 0.0000 Ag

ScCrP2 (meta-GGA SCAN, single point on PBEsol structure); energy above the most stable polymorph in this dataset = 343 meV/atom; SG = Imm2
1.0
-1.1096 -0.5578 2.7619
-1.8528 -2.4164 -1.2324
5.8653 -2.3749 0.2165
Cr P Sc
1 2 1
Cartesian
1.6534 -3.4807 -0.0388 Cr
2.3563 -4.8676 1.6237 P
1.3652 -1.9702 1.8107 P
-1.0502 -1.8668 0.8612 Sc

LaAuBr2 (meta-GGA SCAN, single point on PBEsol structure); energy above the most stable polymorph in this dataset = 111 meV/atom; SG = P4/mmm
1.0
4.3751 0.0000 0.0000
0.0000 4.6692 0.0000
0.0000 0.0000 4.6692
Au Br La
1 2 1
Cartesian
2.1876 0.0000 0.0000 Au
0.0000 0.0000 2.3346 Br
0.0000 2.3346 0.0000 Br
2.1876 2.3346 2.3346 La

| no. | ρ (g/cm³) | magnetization (Bohr magnetons per cell) |
| --- | --- | --- |
| 1 | 10.97 | 0.002 |
| 2 | 5.32 | 8.772 |
| 3 | 4.58 | 0.000 |
| 4 | 8.40 | 0.000 |
| 5 | 11.47 | 0.008 |
| 6 | 4.66 | 0.000 |
| 7 | 9.19 | 0.000 |
| 8 | 9.84 | 0.000 |
| 9 | 6.15 | 3.100 |
| 10 | 16.61 | 0.000 |
| 11 | 8.72 | 0.000 |
| 12 | 4.48 | 1.004 |
| 13 | 8.63 | 0.000 |